(1)
## BeTcSCl2 (PBE)

Data for a geometry-optimized BeTcSCl2 structure.

Cell lengths 4.209, 4.209, 5.266 Å; angles 90.00, 90.00, 90.00 degrees
Last column: magnetic moment on the atom in μB.
Atoms (fractional coordinates):
S1 0.000 0.000 0.500  0.07
Be1 0.000 0.000 0.000  0.01
Cl1 0.500 0.000 0.000  0.06
Cl2 0.000 0.500 0.000  0.06
Tc1 0.500 0.500 0.500  3.96

Results
ΔE to the lowest computed polymorph in meV per atom: 0
Raw total energy in Ry per atom: -0.3083

---

(2)
## BeTcS2Cl (PBE)

Data for a geometry-optimized BeTcS2Cl structure.

Cell lengths 4.519, 4.519, 4.184 Å; angles 90.00, 90.00, 90.00 degrees
Last column: magnetic moment on the atom in μB.
Atoms (fractional coordinates):
S1 0.500 0.000 0.000  -0.06
S2 0.000 0.500 0.000  -0.06
Tc1 0.500 0.500 0.500  3.57
Be1 0.000 0.000 0.000  0.01
Cl1 0.000 0.000 0.500  0.10

Results
ΔE to the lowest computed polymorph in meV per atom: 0
Raw total energy in Ry per atom: -0.3222

---

(3)
## BeTcSCl2 (PBE)

Data for a geometry-optimized BeTcSCl2 structure.

Cell lengths 4.905, 4.905, 4.496 Å; angles 90.00, 90.00, 90.00 degrees
Last column: magnetic moment on the atom in μB.
Atoms (fractional coordinates):
Cl1 0.000 0.500 0.000  0.02
Cl2 0.500 0.000 0.000  0.02
Tc1 0.000 0.000 0.000  0.73
Be1 0.500 0.500 0.500  -0.05
S1 0.000 0.000 0.500  -0.03

Results
ΔE to the lowest computed polymorph in meV per atom: 245
Raw total energy in Ry per atom: -0.2903

---

(4)
## BeTcS2Cl (PBE)

Data for a geometry-optimized BeTcS2Cl structure.

Cell lengths 4.561, 4.561, 4.985 Å; angles 90.00, 90.00, 90.00 degrees
Atoms (fractional coordinates):
Tc1 0.000 0.000 0.000
S1 0.000 0.500 0.000
S2 0.500 0.000 0.000
Cl1 0.000 0.000 0.500
Be1 0.500 0.500 0.500

Results
ΔE to the lowest computed polymorph in meV per atom: 73
Raw total energy in Ry per atom: -0.3169

---

(5)
## Be2TeSCl (PBE)

Data for a geometry-optimized Be2TeSCl structure.

Cell lengths 4.442, 4.902, 4.442 Å; angles 90.00, 90.00, 90.00 degrees
Atoms (fractional coordinates):
Cl1 0.000 0.000 0.000
S1 0.000 0.500 0.000
Be1 0.500 0.000 0.000
Be2 0.000 0.000 0.500
Te1 0.500 0.500 0.500

Results
Raw total energy in Ry per atom: -0.1678

---

(6)
## BeTeS2Cl (PBE)

Data for a geometry-optimized BeTeS2Cl structure.

Cell lengths 4.636, 4.636, 4.157 Å; angles 90.00, 90.00, 90.00 degrees
Atoms (fractional coordinates):
Be1 0.000 0.000 0.000
Cl1 0.000 0.000 0.500
S1 0.500 0.000 0.000
S2 0.000 0.500 0.000
Te1 0.500 0.500 0.500

Results
ΔE to the lowest computed polymorph in meV per atom: 0
Raw total energy in Ry per atom: -0.2478

---

(7)
## BeTeSCl2 (PBE)

Data for a geometry-optimized BeTeSCl2 structure.

Cell lengths 4.102, 4.102, 7.592 Å; angles 90.00, 90.00, 90.00 degrees
Atoms (fractional coordinates):
Te1 0.500 0.500 0.500
S1 0.000 0.000 0.500
Cl1 0.000 0.500 0.000
Cl2 0.500 0.000 0.000
Be1 0.000 0.000 0.000

Results
ΔE to the lowest computed polymorph in meV per atom: 0
Raw total energy in Ry per atom: -0.2324

---

(8)
## BeTeSCl2 (PBE)

Data for a geometry-optimized BeTeSCl2 structure.

Cell lengths 5.307, 5.307, 5.121 Å; angles 90.00, 90.00, 90.00 degrees
Last column: magnetic moment on the atom in μB.
Atoms (fractional coordinates):
S1 0.000 0.000 0.500  0.03
Cl1 0.000 0.500 0.000  0.01
Cl2 0.500 0.000 0.000  0.01
Te1 0.000 0.000 0.000  -0.02
Be1 0.500 0.500 0.500  0.15

Results
ΔE to the lowest computed polymorph in meV per atom: 790
Raw total energy in Ry per atom: -0.1743

---

(9)
## BeTeS2Cl (PBE)

Data for a geometry-optimized BeTeS2Cl structure.

Cell lengths 5.103, 5.103, 5.190 Å; angles 90.00, 90.00, 90.00 degrees
Last column: magnetic moment on the atom in μB.
Atoms (fractional coordinates):
Be1 0.500 0.500 0.500  0.22
S1 0.000 0.500 0.000  0.04
S2 0.500 0.000 0.000  0.04
Te1 0.000 0.000 0.000  0.01
Cl1 0.000 0.000 0.500  0.02

Results
ΔE to the lowest computed polymorph in meV per atom: 784
Raw total energy in Ry per atom: -0.1902

---

(10)
## TiBeSCl2 (PBE)

Data for a geometry-optimized TiBeSCl2 structure.

Cell lengths 4.809, 4.809, 4.727 Å; angles 90.00, 90.00, 90.00 degrees
Atoms (fractional coordinates):
Cl1 0.000 0.500 0.000
Cl2 0.500 0.000 0.000
Ti1 0.000 0.000 0.000
Be1 0.500 0.500 0.500
S1 0.000 0.000 0.500

Results
ΔE to the lowest computed polymorph in meV per atom: 101
Raw total energy in Ry per atom: -0.3069

---

(11)
## TiBeSCl2 (PBE)

Data for a geometry-optimized TiBeSCl2 structure.

Cell lengths 4.212, 4.212, 5.089 Å; angles 90.00, 90.00, 90.00 degrees
Last column: magnetic moment on the atom in μB.
Atoms (fractional coordinates):
Cl1 0.000 0.500 0.000  0.00
Cl2 0.500 0.000 0.000  0.00
S1 0.000 0.000 0.500  -0.05
Be1 0.000 0.000 0.000  0.01
Ti1 0.500 0.500 0.500  1.74

Results
ΔE to the lowest computed polymorph in meV per atom: 0
Raw total energy in Ry per atom: -0.3143

---

(12)
## BeTlS2Cl (PBE)

Data for a geometry-optimized BeTlS2Cl structure.

Cell lengths 5.135, 5.135, 5.202 Å; angles 90.00, 90.00, 90.00 degrees
Atoms (fractional coordinates):
S1 0.000 0.500 0.000
S2 0.500 0.000 0.000
Tl1 0.000 0.000 0.000
Be1 0.500 0.500 0.500
Cl1 0.000 0.000 0.500

Results
ΔE to the lowest computed polymorph in meV per atom: 1114
Raw total energy in Ry per atom: -0.1726

---

(13)
## BeTlS2Cl (PBE)

Data for a geometry-optimized BeTlS2Cl structure.

Cell lengths 4.210, 4.210, 6.503 Å; angles 90.00, 90.00, 90.00 degrees
Last column: magnetic moment on the atom in μB.
Atoms (fractional coordinates):
Be1 0.000 0.000 0.000  0.00
Cl1 0.000 0.000 0.500  0.00
S1 0.500 0.000 0.000  0.05
S2 0.000 0.500 0.000  0.05
Tl1 0.500 0.500 0.500  0.00

Results
ΔE to the lowest computed polymorph in meV per atom: 0
Raw total energy in Ry per atom: -0.2545

---

(14)
## BeWSCl2 (PBE)

Data for a geometry-optimized BeWSCl2 structure.

Cell lengths 4.020, 4.020, 6.571 Å; angles 90.00, 90.00, 90.00 degrees
Last column: magnetic moment on the atom in μB.
Atoms (fractional coordinates):
Cl1 0.000 0.500 0.000  0.02
Cl2 0.500 0.000 0.000  0.02
Be1 0.000 0.000 0.000  0.01
W1 0.500 0.500 0.500  3.03
S1 0.000 0.000 0.500  -0.10

Results
ΔE to the lowest computed polymorph in meV per atom: 30
Raw total energy in Ry per atom: -0.3231

---

(15)
## BeWSCl2 (PBE)

Data for a geometry-optimized BeWSCl2 structure.

Cell lengths 4.846, 4.846, 4.638 Å; angles 90.00, 90.00, 90.00 degrees
Atoms (fractional coordinates):
W1 0.000 0.000 0.000
Cl1 0.000 0.500 0.000
Cl2 0.500 0.000 0.000
Be1 0.500 0.500 0.500
S1 0.000 0.000 0.500

Results
ΔE to the lowest computed polymorph in meV per atom: 0
Raw total energy in Ry per atom: -0.3253

---

(16)
## BeWS2Cl (PBE)

Data for a geometry-optimized BeWS2Cl structure.

Cell lengths 4.671, 4.671, 4.860 Å; angles 90.00, 90.00, 90.00 degrees
Atoms (fractional coordinates):
S1 0.500 0.000 0.000
S2 0.000 0.500 0.000
Be1 0.500 0.500 0.500
W1 0.000 0.000 0.000
Cl1 0.000 0.000 0.500

Results
ΔE to the lowest computed polymorph in meV per atom: 0
Raw total energy in Ry per atom: -0.3583

---

(17)
## BeWSCl2 (PBE)

Data for a geometry-optimized BeWSCl2 structure.

Cell lengths 5.464, 4.519, 5.464 Å; angles 90.00, 90.00, 90.00 degrees
Last column: magnetic moment on the atom in μB.
Atoms (fractional coordinates):
S1 0.000 0.000 0.000  -0.19
Cl1 0.500 0.000 0.000  0.01
Cl2 0.000 0.000 0.500  0.04
W1 0.000 0.500 0.000  2.43
Be1 0.500 0.500 0.500  -0.18

Results
ΔE to the lowest computed polymorph in meV per atom: 918
Raw total energy in Ry per atom: -0.2578

---

(18)
## BeWS2Cl (PBE)

Data for a geometry-optimized BeWS2Cl structure.

Cell lengths 4.498, 4.498, 4.033 Å; angles 90.00, 90.00, 90.00 degrees
Last column: magnetic moment on the atom in μB.
Atoms (fractional coordinates):
S1 0.500 0.000 0.000  -0.14
S2 0.000 0.500 0.000  -0.14
W1 0.500 0.500 0.500  2.58
Be1 0.000 0.000 0.000  0.03
Cl1 0.000 0.000 0.500  0.00

Results
ΔE to the lowest computed polymorph in meV per atom: 169
Raw total energy in Ry per atom: -0.3458

---

(19)
## YBeS2Cl (PBE)

Data for a geometry-optimized YBeS2Cl structure.

Cell lengths 5.289, 5.289, 5.125 Å; angles 90.00, 90.00, 90.00 degrees
Atoms (fractional coordinates):
S1 0.500 0.000 0.000
S2 0.000 0.500 0.000
Y1 0.000 0.000 0.000
Cl1 0.000 0.000 0.500
Be1 0.500 0.500 0.500

Results
ΔE to the lowest computed polymorph in meV per atom: 828
Raw total energy in Ry per atom: -0.3161

---

(20)
## YBeSCl2 (PBE)

Data for a geometry-optimized YBeSCl2 structure.

Cell lengths 5.230, 5.230, 5.356 Å; angles 90.00, 90.00, 90.00 degrees
Last column: magnetic moment on the atom in μB.
Atoms (fractional coordinates):
Be1 0.500 0.500 0.500  0.22
Y1 0.000 0.000 0.000  0.00
Cl1 0.000 0.500 0.000  0.01
Cl2 0.500 0.000 0.000  0.01
S1 0.000 0.000 0.500  0.12

Results
ΔE to the lowest computed polymorph in meV per atom: 286
Raw total energy in Ry per atom: -0.3147

---

(21)
## YBeS2Cl (PBE)

Data for a geometry-optimized YBeS2Cl structure.

Cell lengths 4.596, 4.596, 4.222 Å; angles 90.00, 90.00, 90.00 degrees
Atoms (fractional coordinates):
Cl1 0.000 0.000 0.500
S1 0.000 0.500 0.000
S2 0.500 0.000 0.000
Be1 0.000 0.000 0.000
Y1 0.500 0.500 0.500

Results
ΔE to the lowest computed polymorph in meV per atom: 0
Raw total energy in Ry per atom: -0.3770

---

(22)
## YBeSCl2 (PBE)

Data for a geometry-optimized YBeSCl2 structure.

Cell lengths 4.346, 4.346, 4.839 Å; angles 90.00, 90.00, 90.00 degrees
Last column: magnetic moment on the atom in μB.
Atoms (fractional coordinates):
Cl1 0.500 0.000 0.000  -0.01
Cl2 0.000 0.500 0.000  -0.01
S1 0.000 0.000 0.500  -0.01
Be1 0.000 0.000 0.000  0.02
Y1 0.500 0.500 0.500  0.17

Results
ΔE to the lowest computed polymorph in meV per atom: 0
Raw total energy in Ry per atom: -0.3357

---

(23)
## ZrBeS2Cl (PBE)

Data for a geometry-optimized ZrBeS2Cl structure.

Cell lengths 4.999, 4.999, 5.039 Å; angles 90.00, 90.00, 90.00 degrees
Last column: magnetic moment on the atom in μB.
Atoms (fractional coordinates):
S1 0.000 0.500 0.000  0.05
S2 0.500 0.000 0.000  0.05
Cl1 0.000 0.000 0.500  0.01
Zr1 0.000 0.000 0.000  0.03
Be1 0.500 0.500 0.500  0.24

Results
ΔE to the lowest computed polymorph in meV per atom: 208
Raw total energy in Ry per atom: -0.3477

---

(24)
## ZrBeS2Cl (PBE)

Data for a geometry-optimized ZrBeS2Cl structure.

Cell lengths 4.523, 4.523, 4.091 Å; angles 90.00, 90.00, 90.00 degrees
Last column: magnetic moment on the atom in μB.
Atoms (fractional coordinates):
Zr1 0.500 0.500 0.500  0.60
Cl1 0.000 0.000 0.500  -0.02
S1 0.000 0.500 0.000  -0.03
S2 0.500 0.000 0.000  -0.03
Be1 0.000 0.000 0.000  0.01

Results
ΔE to the lowest computed polymorph in meV per atom: 0
Raw total energy in Ry per atom: -0.3630

---

(25)
## BeSbCl (PBE)

Data for a geometry-optimized BeSbCl structure.

Cell lengths 4.146, 4.146, 4.799 Å; angles 90.00, 90.00, 120.00 degrees
Atoms (fractional coordinates):
Sb1 0.333 0.667 0.833
Cl1 0.667 0.333 0.334
Be1 0.000 0.000 0.833

Results
ΔE to the lowest computed polymorph in meV per atom: 511
Raw total energy in Ry per atom: -0.2241

---

(26)
## Be2SbCl (PBE)

Data for a geometry-optimized Be2SbCl structure.

Cell lengths 5.067, 5.067, 5.067 Å; angles 140.85, 98.49, 94.41 degrees
Atoms (fractional coordinates):
Sb1 0.250 0.750 0.500
Be1 0.986 0.986 0.000
Be2 0.514 0.514 0.000
Cl1 0.750 0.250 0.500

Results
ΔE to the lowest computed polymorph in meV per atom: 601
Raw total energy in Ry per atom: -0.2138

---

(27)
## BeSb2Cl (PBE)

Data for a geometry-optimized BeSb2Cl structure.

Cell lengths 5.010, 4.579, 4.578 Å; angles 67.18, 90.00, 90.00 degrees
Atoms (fractional coordinates):
Be1 0.000 0.422 0.422
Sb1 0.000 0.059 0.059
Sb2 0.500 0.284 0.285
Cl1 0.500 0.734 0.734

Results
ΔE to the lowest computed polymorph in meV per atom: 285
Raw total energy in Ry per atom: -0.2434

---

(28)
## BeSb2Cl (PBE)

Data for a geometry-optimized BeSb2Cl structure.

Cell lengths 4.994, 4.994, 4.994 Å; angles 60.00, 60.00, 60.00 degrees
Atoms (fractional coordinates):
Be1 0.500 0.500 0.500
Sb1 0.000 0.000 0.000
Sb2 0.250 0.250 0.250
Cl1 0.750 0.750 0.750

Results
ΔE to the lowest computed polymorph in meV per atom: 549
Raw total energy in Ry per atom: -0.2240

---

(29)
## BeSb2Cl (PBE)

Data for a geometry-optimized BeSb2Cl structure.

Cell lengths 3.457, 5.679, 4.584 Å; angles 90.00, 90.00, 90.00 degrees
Atoms (fractional coordinates):
Sb1 0.500 0.500 0.000
Sb2 0.000 0.000 0.000
Cl1 0.000 0.500 0.500
Be1 0.500 0.000 0.500

Results
ΔE to the lowest computed polymorph in meV per atom: 565
Raw total energy in Ry per atom: -0.2229

---

Across the entries above, energy relative to the elements, uncorrected takes the values 0.188, 0.454, 0.433, 0.527, 1.030, 0.023, -0.224, 0.566, 0.807, -0.287, -0.388, 0.890, -0.224, 0.504, 0.474, 0.482, 1.392, 0.651, -0.243, -0.680, -1.071, -0.965, -0.255, -0.463, 0.182, 0.446, 0.142, 0.406, 0.422 eV per atom, respectively.